No. 1
Material: Tm2NbGa2Rh5
Method: DFT, GGA-PBE
State: optimized geometry

**Uncorrected energy**: -6.95 eV/atom
**Formation energy from the elements**: -771.6 meV/atom
**Total magnetic moment**: 0.00 μB per atom
**Space-group type**: No. 127

a b c (Å): 9.7756 9.7756 3.5513
angles (deg): 90.00 90.00 90.00
Positions (direct):
Tm1 0.1721 0.3279 0.0000
Tm2 0.3279 0.8279 0.0000
Tm3 0.6721 0.1721 0.0000
Tm4 0.8279 0.6721 0.0000
Nb1 0.0000 0.0000 0.0000
Nb2 0.5000 0.5000 0.0000
Ga1 0.1259 0.6259 0.0000
Ga2 0.3741 0.1259 0.0000
Ga3 0.6259 0.8741 0.0000
Ga4 0.8741 0.3741 0.0000
Rh1 0.0000 0.5000 0.5000
Rh2 0.0666 0.7982 0.5000
Rh3 0.2018 0.0666 0.5000
Rh4 0.2982 0.5666 0.5000
Rh5 0.4334 0.2982 0.5000
Rh6 0.5000 0.0000 0.5000
Rh7 0.5666 0.7018 0.5000
Rh8 0.7018 0.4334 0.5000
Rh9 0.7982 0.9334 0.5000
Rh10 0.9334 0.2018 0.5000

No. 2
Material: KSmTl2
Method: DFT, GGA-PBE
State: optimized geometry

**Energy relative to the lowest polymorph listed for this composition**: 0.00 eV/f.u.
**Uncorrected energy**: -2.85 eV/atom
**Formation energy from the elements**: -212.3 meV/atom
**Total magnetic moment**: 0.02 μB per atom
**Space-group type**: No. 123

a b c (Å): 3.9301 3.9301 8.6447
angles (deg): 90.00 90.00 90.00
Positions (direct):
K1 0.0000 0.0000 0.0000
Sm1 0.0000 0.0000 0.5000
Tl1 0.5000 0.5000 0.2908
Tl2 0.5000 0.5000 0.7092

No. 3
Material: GaSbS3
Method: DFT, GGA-PBE
State: optimized geometry

**Energy relative to the lowest polymorph listed for this composition**: 2.94 eV/f.u.
**Uncorrected energy**: -3.71 eV/atom
**Formation energy from raw total energies**: 0.192 eV per atom
**Total magnetic moment**: 0.00 μB per atom
**Space-group type**: No. 221

a b c (Å): 4.6897 4.6897 4.6897
angles (deg): 90.00 90.00 90.00
Positions (direct):
Ga1 0.0000 0.0000 0.0000
Sb1 0.5000 0.5000 0.5000
S1 0.0000 0.0000 0.5000
S2 0.0000 0.5000 0.0000
S3 0.5000 0.0000 0.0000

No. 4
Material: La3PrPu2S6
Method: DFT, GGA-PBE
State: optimized geometry

**Uncorrected energy**: -8.09 eV/atom
**Formation energy from raw total energies**: -2.011 eV per atom
**Total magnetic moment**: 0.95 μB per atom
**Space-group type**: No. 12

a b c (Å): 7.0609 7.0609 7.0996
angles (deg): 99.53 99.53 120.00
Positions (direct):
La1 0.0000 0.0000 0.0000
La2 0.3354 0.6646 0.0000
La3 0.6646 0.3354 0.0000
Pr1 0.5000 0.5000 0.5000
Pu1 0.1669 0.8331 0.5000
Pu2 0.8331 0.1669 0.5000
S1 0.0791 0.4198 0.2602
S2 0.2383 0.2383 0.7382
S3 0.4198 0.0791 0.2602
S4 0.5802 0.9209 0.7398
S5 0.7617 0.7617 0.2618
S6 0.9209 0.5802 0.7398

No. 5
Material: NaNiBRh2
Method: DFT, GGA-PBE
State: optimized geometry

**Uncorrected energy**: -5.66 eV/atom
**Formation energy from the elements**: 36.3 meV/atom
**Total magnetic moment**: 0.21 μB per atom
**Space-group type**: No. 123

a b c (Å): 4.1464 4.1464 3.9646
angles (deg): 90.00 90.00 90.00
Positions (direct):
Na1 0.0000 0.0000 0.0000
Ni1 0.5000 0.5000 0.0000
B1 0.5000 0.5000 0.5000
Rh1 0.0000 0.5000 0.5000
Rh2 0.5000 0.0000 0.5000

No. 6
Material: BaSe2I2
Method: DFT, GGA-PBE
State: optimized geometry

**Energy relative to the lowest polymorph listed for this composition**: 0.74 eV/f.u.
**Uncorrected energy**: -3.05 eV/atom
**Formation energy from raw total energies**: -0.647 eV per atom
**Total magnetic moment**: 0.00 μB per atom
**Space-group type**: No. 139

a b c (Å): 6.4175 6.4175 6.4175
angles (deg): 118.31 118.31 92.94
Positions (direct):
Ba1 0.0000 0.0000 0.0000
Se1 0.3749 0.3749 0.0000
Se2 0.6251 0.6251 0.0000
I1 0.2500 0.7500 0.5000
I2 0.7500 0.2500 0.5000

No. 7
Material: SrInSe4
Method: DFT, GGA-PBE
State: optimized geometry

**Uncorrected energy**: -3.35 eV/atom
**Formation energy from raw total energies**: -0.286 eV per atom
**Total magnetic moment**: 0.00 μB per atom
**Space-group type**: No. 216

a b c (Å): 6.0245 6.0245 6.0245
angles (deg): 60.00 60.00 60.00
Positions (direct):
Sr1 0.0000 0.0000 0.0000
In1 0.7500 0.7500 0.7500
Se1 0.3754 0.3754 0.3754
Se2 0.3754 0.3754 0.8738
Se3 0.3754 0.8738 0.3754
Se4 0.8738 0.3754 0.3754

No. 8
Material: Rb2TaRuCl6
Method: DFT, GGA-PBE
State: optimized geometry

**Uncorrected energy**: -4.36 eV/atom
**Formation energy from raw total energies**: -0.947 eV per atom
**Total magnetic moment**: 0.30 μB per atom
**Space-group type**: No. 139

a b c (Å): 7.0729 7.0729 7.0729
angles (deg): 114.41 114.41 99.99
Positions (direct):
Rb1 0.2500 0.7500 0.5000
Rb2 0.7500 0.2500 0.5000
Ta1 0.0000 0.0000 0.0000
Ru1 0.5000 0.5000 0.0000
Cl1 0.2321 0.2321 0.4642
Cl2 0.2321 0.7679 0.0000
Cl3 0.2524 0.2524 0.0000
Cl4 0.7476 0.7476 0.0000
Cl5 0.7679 0.2321 0.0000
Cl6 0.7679 0.7679 0.5358

No. 9
Material: TbSi2Ni3
Method: DFT, GGA-PBE
State: optimized geometry

**Uncorrected energy**: -6.18 eV/atom
**Formation energy from raw total energies**: -0.709 eV per atom
**Total magnetic moment**: 0.00 μB per atom
**Space-group type**: No. 12

a b c (Å): 7.5055 7.5055 6.9868
angles (deg): 114.15 114.15 29.30
Positions (direct):
Tb1 0.1538 0.1538 0.0694
Tb2 0.8462 0.8462 0.9306
Si1 0.1855 0.1855 0.6645
Si2 0.4799 0.4799 0.8174
Si3 0.5201 0.5201 0.1826
Si4 0.8145 0.8145 0.3355
Ni1 0.0376 0.0376 0.3670
Ni2 0.3167 0.3167 0.5600
Ni3 0.4078 0.4078 0.3311
Ni4 0.5922 0.5922 0.6689
Ni5 0.6833 0.6833 0.4400
Ni6 0.9624 0.9624 0.6330

No. 10
Material: Er2TmNbN4
Method: DFT, GGA-PBE
State: optimized geometry

**Uncorrected energy**: -8.72 eV/atom
**Formation energy from raw total energies**: -1.596 eV per atom
**Total magnetic moment**: 0.00 μB per atom
**Space-group type**: No. 10

a b c (Å): 5.7655 3.3171 5.7683
angles (deg): 90.00 109.16 90.00
Positions (direct):
Er1 0.0000 0.0000 0.0000
Er2 0.5000 0.5000 0.0000
Tm1 0.0000 0.5000 0.5000
Nb1 0.5000 0.0000 0.5000
N1 0.2580 0.0000 0.7393
N2 0.2623 0.5000 0.2636
N3 0.7377 0.5000 0.7364
N4 0.7420 0.0000 0.2607

No. 11
Material: Cs2RbNa2
Method: DFT, GGA-PBE
State: optimized geometry

**Energy relative to the lowest polymorph listed for this composition**: 0.00 eV/f.u.
**Uncorrected energy**: -1.04 eV/atom
**Formation energy from the elements**: 19.8 meV/atom
**Total magnetic moment**: 0.00 μB per atom
**Space-group type**: No. 127

a b c (Å): 11.1744 11.1744 6.1455
angles (deg): 90.00 90.00 90.00
Positions (direct):
Cs1 0.1729 0.3271 0.0000
Cs2 0.3271 0.8271 0.0000
Cs3 0.6729 0.1729 0.0000
Cs4 0.8271 0.6729 0.0000
Rb1 0.0000 0.0000 0.5000
Rb2 0.5000 0.5000 0.5000
Na1 0.1175 0.6175 0.5000
Na2 0.3825 0.1175 0.5000
Na3 0.6175 0.8825 0.5000
Na4 0.8825 0.3825 0.5000

No. 12
Material: LiZrSc2
Method: DFT, GGA-PBE
State: optimized geometry

**Energy relative to the lowest polymorph listed for this composition**: 0.37 eV/f.u.
**Uncorrected energy**: -5.64 eV/atom
**Formation energy from the elements**: 143.8 meV/atom
**Total magnetic moment**: 0.00 μB per atom
**Space-group type**: No. 71

a b c (Å): 5.9022 5.9022 5.9022
angles (deg): 146.68 128.74 62.52
Positions (direct):
Li1 0.0000 0.0000 0.0000
Zr1 0.5000 0.5000 0.0000
Sc1 0.2277 0.7277 0.5000
Sc2 0.7723 0.2723 0.5000

No. 13
Material: K6NaBi2
Method: DFT, GGA-PBE
State: optimized geometry

**Uncorrected energy**: -2.04 eV/atom
**Formation energy from the elements**: -300.6 meV/atom
**Total magnetic moment**: 0.07 μB per atom
**Space-group type**: No. 166

a b c (Å): 12.7553 12.7553 12.7553
angles (deg): 28.43 28.43 28.43
Positions (direct):
K1 0.0776 0.0776 0.0776
K2 0.2098 0.2098 0.2098
K3 0.3105 0.3105 0.3105
K4 0.6895 0.6895 0.6895
K5 0.7902 0.7902 0.7902
K6 0.9224 0.9224 0.9224
Na1 0.5000 0.5000 0.5000
Bi1 0.4102 0.4102 0.4102
Bi2 0.5898 0.5898 0.5898